1.
{"formula": "NaTc", "functional": "GGA-PBE", "state": "relaxed", "lattice_angstrom": [[2.477, -1.433, 0.000], [2.477, 1.433, 0.000], [-1.734, 0.000, 10.684]], "species": ["Na", "Na", "Tc", "Tc"], "fractional_positions": [[0.120, 0.120, 0.344], [0.880, 0.880, 0.656], [0.301, 0.301, 0.908], [0.699, 0.699, 0.092]], "energy_ev_per_cell": -21.63, "total_magnetization_mub_per_fu": 0.0, "space_group": "C2/m (12)", "relative_energy_mev_per_atom": 7.2, "formation_enthalpy_0k_mev_per_atom": 435}



2.
{"formula": "NaTc", "functional": "GGA-PBE", "state": "relaxed", "lattice_angstrom": [[0.000, 2.851, 2.851], [2.851, 0.000, 2.851], [2.851, 2.851, 0.000]], "species": ["Na", "Tc"], "fractional_positions": [[0.000, 0.000, 0.000], [0.500, 0.500, 0.500]], "energy_ev_per_cell": -7.17, "total_magnetization_mub_per_fu": 3.2, "space_group": "Fm-3m (225)", "relative_energy_mev_per_atom": 1829.6, "formation_enthalpy_0k_mev_per_atom": 2258}



3.
{"formula": "NaTc", "functional": "GGA-PBE", "state": "relaxed", "lattice_angstrom": [[5.810, 0.000, 0.000], [0.000, 5.810, 0.000], [0.000, 0.000, 5.905]], "species": ["Na", "Na", "Na", "Na", "Tc", "Tc", "Tc", "Tc"], "fractional_positions": [[0.167, 0.167, 0.000], [0.333, 0.667, 0.500], [0.667, 0.333, 0.500], [0.833, 0.833, 0.000], [0.127, 0.127, 0.500], [0.373, 0.627, 0.000], [0.627, 0.373, 0.000], [0.873, 0.873, 0.500]], "energy_ev_per_cell": -33.89, "total_magnetization_mub_per_fu": 1.0, "space_group": "P4_2/mnm (136)", "relative_energy_mev_per_atom": 1178.6, "formation_enthalpy_0k_mev_per_atom": 1607}



4.
{"formula": "Na3Tc", "functional": "GGA-PBE", "state": "relaxed", "lattice_angstrom": [[6.697, 0.000, 0.000], [-3.348, 5.800, 0.000], [0.000, 0.000, 5.476]], "species": ["Na", "Na", "Na", "Na", "Na", "Na", "Tc", "Tc"], "fractional_positions": [[0.175, 0.350, 0.250], [0.175, 0.825, 0.250], [0.350, 0.175, 0.750], [0.650, 0.825, 0.250], [0.825, 0.175, 0.750], [0.825, 0.650, 0.750], [0.333, 0.667, 0.750], [0.667, 0.333, 0.250]], "energy_ev_per_cell": -20.72, "total_magnetization_mub_per_fu": 3.3, "space_group": "P6_3/mmc (194)", "relative_energy_mev_per_atom": 0.0, "formation_enthalpy_0k_mev_per_atom": 991}



5.
{"formula": "NaTi3Tc", "functional": "GGA-PBE", "state": "relaxed", "lattice_angstrom": [[4.821, 0.000, 0.000], [0.000, 4.821, 0.000], [0.000, 0.000, 4.821]], "species": ["Na", "Ti", "Ti", "Ti", "Tc"], "fractional_positions": [[0.000, 0.000, 0.000], [0.000, 0.500, 0.500], [0.500, 0.000, 0.500], [0.500, 0.500, 0.000], [0.500, 0.500, 0.500]], "energy_ev_per_cell": -32.57, "total_magnetization_mub_per_fu": 1.6, "space_group": "Pm-3m (221)", "relative_energy_mev_per_atom": 0.0, "formation_enthalpy_0k_mev_per_atom": 559}



6.
{"formula": "NaTi2Tc", "functional": "GGA-PBE", "state": "relaxed", "lattice_angstrom": [[-1.980, 1.980, 9.205], [1.980, -1.980, 9.205], [1.980, 1.980, -9.205]], "species": ["Na", "Na", "Ti", "Ti", "Ti", "Ti", "Tc", "Tc"], "fractional_positions": [[0.000, 0.000, 0.000], [0.750, 0.250, 0.500], [0.154, 0.625, 0.029], [0.375, 0.404, 0.529], [0.596, 0.125, 0.971], [0.875, 0.846, 0.471], [0.250, 0.750, 0.500], [0.500, 0.500, 0.000]], "energy_ev_per_cell": -47.29, "total_magnetization_mub_per_fu": 0.0, "space_group": "I-42d (122)", "relative_energy_mev_per_atom": 637.4, "formation_enthalpy_0k_mev_per_atom": 957}



7.
{"formula": "NaTi2Tc", "functional": "GGA-PBE", "state": "relaxed", "lattice_angstrom": [[0.000, 3.217, 3.217], [3.217, 0.000, 3.217], [3.217, 3.217, 0.000]], "species": ["Na", "Ti", "Ti", "Tc"], "fractional_positions": [[0.000, 0.000, 0.000], [0.250, 0.250, 0.250], [0.750, 0.750, 0.750], [0.500, 0.500, 0.500]], "energy_ev_per_cell": -26.20, "total_magnetization_mub_per_fu": 0.0, "space_group": "Fm-3m (225)", "relative_energy_mev_per_atom": 0.0, "formation_enthalpy_0k_mev_per_atom": 320}



8.
{"formula": "NaTiTc2", "functional": "GGA-PBE", "state": "relaxed", "lattice_angstrom": [[0.000, 3.154, 3.154], [3.154, 0.000, 3.154], [3.154, 3.154, 0.000]], "species": ["Na", "Ti", "Tc", "Tc"], "fractional_positions": [[0.000, 0.000, 0.000], [0.500, 0.500, 0.500], [0.250, 0.250, 0.250], [0.750, 0.750, 0.750]], "energy_ev_per_cell": -27.18, "total_magnetization_mub_per_fu": 0.0, "space_group": "Fm-3m (225)", "relative_energy_mev_per_atom": 0.0, "formation_enthalpy_0k_mev_per_atom": 691}



9.
{"formula": "NaTiTc2", "functional": "GGA-PBE", "state": "relaxed", "lattice_angstrom": [[-1.990, 1.990, 9.356], [1.990, -1.990, 9.356], [1.990, 1.990, -9.356]], "species": ["Na", "Na", "Ti", "Ti", "Tc", "Tc", "Tc", "Tc"], "fractional_positions": [[0.000, 0.000, 0.000], [0.750, 0.250, 0.500], [0.250, 0.750, 0.500], [0.500, 0.500, 0.000], [0.207, 0.625, 0.082], [0.375, 0.457, 0.582], [0.543, 0.125, 0.918], [0.875, 0.793, 0.418]], "energy_ev_per_cell": -52.50, "total_magnetization_mub_per_fu": 0.0, "space_group": "I-42d (122)", "relative_energy_mev_per_atom": 232.5, "formation_enthalpy_0k_mev_per_atom": 924}



10.
{"formula": "NaTlTc2", "functional": "GGA-PBE", "state": "relaxed", "lattice_angstrom": [[-3.993, 3.993, 2.546], [3.993, -3.993, 2.546], [3.993, 3.993, -2.546]], "species": ["Na", "Na", "Tl", "Tl", "Tc", "Tc", "Tc", "Tc"], "fractional_positions": [[0.000, 0.000, 0.000], [0.750, 0.250, 0.500], [0.250, 0.750, 0.500], [0.500, 0.500, 0.000], [0.153, 0.625, 0.028], [0.375, 0.403, 0.528], [0.597, 0.125, 0.972], [0.875, 0.847, 0.472]], "energy_ev_per_cell": -38.62, "total_magnetization_mub_per_fu": 1.4, "space_group": "I-42d (122)", "relative_energy_mev_per_atom": 150.4, "formation_enthalpy_0k_mev_per_atom": 1277}



11.
{"formula": "Na2TlTc", "functional": "GGA-PBE", "state": "relaxed", "lattice_angstrom": [[-4.218, 4.218, 2.818], [4.218, -4.218, 2.818], [4.218, 4.218, -2.818]], "species": ["Na", "Na", "Na", "Na", "Tl", "Tl", "Tc", "Tc"], "fractional_positions": [[0.118, 0.625, 0.993], [0.375, 0.368, 0.493], [0.632, 0.125, 0.007], [0.875, 0.882, 0.507], [0.250, 0.750, 0.500], [0.500, 0.500, 0.000], [0.000, 0.000, 0.000], [0.750, 0.250, 0.500]], "energy_ev_per_cell": -23.59, "total_magnetization_mub_per_fu": 2.4, "space_group": "I-42d (122)", "relative_energy_mev_per_atom": 24.8, "formation_enthalpy_0k_mev_per_atom": 894}



12.
{"formula": "NaTlTc2", "functional": "GGA-PBE", "state": "relaxed", "lattice_angstrom": [[0.000, 3.331, 3.331], [3.331, 0.000, 3.331], [3.331, 3.331, 0.000]], "species": ["Na", "Tl", "Tc", "Tc"], "fractional_positions": [[0.000, 0.000, 0.000], [0.500, 0.500, 0.500], [0.250, 0.250, 0.250], [0.750, 0.750, 0.750]], "energy_ev_per_cell": -19.91, "total_magnetization_mub_per_fu": 4.4, "space_group": "Fm-3m (225)", "relative_energy_mev_per_atom": 0.0, "formation_enthalpy_0k_mev_per_atom": 1126}



Copy entry 7 word for word.
{"formula": "NaTi2Tc", "functional": "GGA-PBE", "state": "relaxed", "lattice_angstrom": [[0.000, 3.217, 3.217], [3.217, 0.000, 3.217], [3.217, 3.217, 0.000]], "species": ["Na", "Ti", "Ti", "Tc"], "fractional_positions": [[0.000, 0.000, 0.000], [0.250, 0.250, 0.250], [0.750, 0.750, 0.750], [0.500, 0.500, 0.500]], "energy_ev_per_cell": -26.20, "total_magnetization_mub_per_fu": 0.0, "space_group": "Fm-3m (225)", "relative_energy_mev_per_atom": 0.0, "formation_enthalpy_0k_mev_per_atom": 320}



- What is the formula in the sixth record?
  NaTi2Tc



Repeat the second record exactly.
{"formula": "NaTc", "functional": "GGA-PBE", "state": "relaxed", "lattice_angstrom": [[0.000, 2.851, 2.851], [2.851, 0.000, 2.851], [2.851, 2.851, 0.000]], "species": ["Na", "Tc"], "fractional_positions": [[0.000, 0.000, 0.000], [0.500, 0.500, 0.500]], "energy_ev_per_cell": -7.17, "total_magnetization_mub_per_fu": 3.2, "space_group": "Fm-3m (225)", "relative_energy_mev_per_atom": 1829.6, "formation_enthalpy_0k_mev_per_atom": 2258}